Entry 1:
This record from the Alexandria database describes a PBEsol-optimized structure of SmCu. The functional is SCAN.

Properties
Total moment = 0.0000 μB per atom
E = -60.089 eV/cell
Crystal system = cubic
Calculated formation energy = -0.224 eV/atom

Cell lengths 3.478, 3.478, 3.478 Å; angles 90.00, 90.00, 90.00 degrees
Space group Pm-3m (No. 221)
Unique sites:
Sm1 0.000 0.000 0.000 x1
Cu1 0.500 0.500 0.500 x1

---

Entry 2:
This record from the Alexandria database describes a PBEsol-optimized structure of Sm3Cu4Sn4. The functional is SCAN.

Properties
Total moment = 0.0000 μB per atom
E = -689.322 eV/cell
Crystal system = orthorhombic
Calculated formation energy = -0.623 eV/atom

Cell lengths 4.478, 6.871, 14.691 Å; angles 90.00, 90.00, 90.00 degrees
Space group Immm (No. 71)
Unique sites:
Sm1 0.000 0.000 0.000 x2
Sm2 0.000 0.500 0.132 x4
Cu1 0.000 0.315 0.331 x8
Sn1 0.000 0.000 0.216 x4
Sn2 0.000 0.202 0.500 x4

---

Copy entry 1 word for word.
This record from the Alexandria database describes a PBEsol-optimized structure of SmCu. The functional is SCAN.

Properties
Total moment = 0.0000 μB per atom
E = -60.089 eV/cell
Crystal system = cubic
Calculated formation energy = -0.224 eV/atom

Cell lengths 3.478, 3.478, 3.478 Å; angles 90.00, 90.00, 90.00 degrees
Space group Pm-3m (No. 221)
Unique sites:
Sm1 0.000 0.000 0.000 x1
Cu1 0.500 0.500 0.500 x1

---

What did the second record say?
This record from the Alexandria database describes a PBEsol-optimized structure of Sm3Cu4Sn4. The functional is SCAN.

Properties
Total moment = 0.0000 μB per atom
E = -689.322 eV/cell
Crystal system = orthorhombic
Calculated formation energy = -0.623 eV/atom

Cell lengths 4.478, 6.871, 14.691 Å; angles 90.00, 90.00, 90.00 degrees
Space group Immm (No. 71)
Unique sites:
Sm1 0.000 0.000 0.000 x2
Sm2 0.000 0.500 0.132 x4
Cu1 0.000 0.315 0.331 x8
Sn1 0.000 0.000 0.216 x4
Sn2 0.000 0.202 0.500 x4